Entry 1:
A plane-wave DFT calculation with PBE was carried out for a geometry-optimized HfMgZn structure.

* final energy: -4.349 eV per atom
* V: 19.22 Å³ per atom

abc: 3.0923 3.0923 6.4135
angles: 103.95 103.95 90.00
Atoms (fractional coordinates):
Mg 0.3201 0.3201 0.6402
Zn 0.6661 0.6661 0.3323
Hf 0.0138 0.0138 0.0276

Entry 2:
A plane-wave DFT calculation with PBE was carried out for a geometry-optimized HfMg2Zn structure.

* final energy: -3.544 eV per atom
* V: 20.28 Å³ per atom

abc: 3.0554 3.0554 10.1898
angles: 81.38 81.38 60.00
Atoms (fractional coordinates):
Mg 0.0773 0.0773 0.7680
Mg 0.2558 0.2558 0.2326
Zn 0.6663 0.6663 0.0011
Hf 0.5006 0.5006 0.4982

Entry 3:
A plane-wave DFT calculation with PBE was carried out for a geometry-optimized Hf3Mg2Zn2 structure.

* final energy: -5.143 eV per atom
* V: 20.52 Å³ per atom

abc: 3.1193 3.1320 14.7843
angles: 90.00 96.06 90.00
Atoms (fractional coordinates):
Hf 0.5760 0.5000 0.1520
Hf 0.4240 0.5000 0.8480
Hf 0.0000 0.0000 0.0000
Zn 0.1420 0.0000 0.2840
Zn 0.8580 0.0000 0.7160
Mg 0.2967 0.5000 0.5934
Mg 0.7033 0.5000 0.4066

Entry 4:
A plane-wave DFT calculation with PBE was carried out for a geometry-optimized HfMgZn structure.

* final energy: -4.311 eV per atom
* V: 19.53 Å³ per atom

abc: 5.5660 7.2890 3.1711
angles: 89.98 73.42 107.33
Atoms (fractional coordinates):
Mg 0.8600 0.1420 0.6157
Mg 0.5183 0.3528 0.2865
Zn 0.1441 0.4646 0.9734
Zn 0.2343 0.0304 0.9284
Hf 0.9005 0.7067 0.5947
Hf 0.4778 0.7883 0.3072

Entry 5:
A plane-wave DFT calculation with PBE was carried out for a geometry-optimized HfMg2Zn structure.

* final energy: -3.598 eV per atom
* V: 19.74 Å³ per atom

abc: 3.1116 3.1116 8.1541
angles: 90.00 90.00 90.00
Atoms (fractional coordinates):
Zn 0.5000 0.5000 0.0000
Mg 0.0000 0.0000 0.2220
Mg 0.0000 0.0000 0.7780
Hf 0.5000 0.5000 0.5000

Entry 6:
A plane-wave DFT calculation with PBE was carried out for a geometry-optimized HfMgZn6 structure.

* final energy: -2.528 eV per atom
* V: 16.33 Å³ per atom

abc: 4.3090 5.6967 5.6967
angles: 110.88 90.00 90.00
Atoms (fractional coordinates):
Zn 0.0000 0.0536 0.3625
Zn 0.5000 0.9315 0.0685
Zn 0.5000 0.4443 0.1393
Zn 0.0000 0.5735 0.4265
Zn 0.0000 0.6375 0.9464
Zn 0.5000 0.8607 0.5557
Mg 0.5000 0.3757 0.6243
Hf 0.0000 0.1229 0.8771

- Which of these has the lowest V?
  HfMgZn6